Density functional theory data (PBE-GGA) for a relaxed MgMoW crystal.

```
3
Lattice="4.3746 0.0000 0.0000 2.1873 3.7885 0.0000 2.1873 1.2628 3.5719" Properties=species:S:1:pos:R:3 pbc="T T T"
W 0.0000 0.0000 0.0000
Mg 4.3746 2.5257 1.7859
Mo 2.1873 1.2628 0.8930
```

Summary:
The total DFT energy (no corrections) comes out at -7.412 eV/atom. The value obtained for the energy above the lowest structure with this stoichiometry is 0.812 eV per atom. For the formation energy, the calculation gives 1.047 eV/atom.

***

Density functional theory data (PBE-GGA) for a relaxed Al2SeO6 crystal.

```
18
Lattice="-0.0824 4.5400 0.0591 -2.9965 -0.0050 -3.7923 -6.2900 -0.1788 4.9703" Properties=species:S:1:pos:R:3 pbc="T T T"
O -2.0954 3.2663 -0.4154
Se -1.5394 2.2675 -1.8666
Al -8.1226 2.1193 0.2556
O -6.3236 3.1431 2.9255
Al -5.9307 4.4127 1.6000
O -2.6263 0.9663 1.0607
O -4.6880 0.9047 2.6900
O -8.7927 2.9892 1.9155
Al -1.2463 2.2369 0.9815
O -0.5762 1.3670 -0.6785
O -4.1579 3.5469 1.3326
O -3.0453 1.2130 -1.6884
O -4.6809 3.4514 -1.4529
O -5.2110 0.8092 -0.0955
O -6.7426 3.3898 0.1764
Se -3.1450 -0.0894 2.4851
Al -3.4382 -0.0565 -0.3629
O -7.2735 1.0899 1.6525
```

Summary:
The total DFT energy (no corrections) comes out at -6.402 eV/atom. The formation energy from raw total energies is -1.88 eV per atom.

***

Density functional theory data (PBE-GGA) for a relaxed NdEr5TmTh2 crystal.

```
18
Lattice="8.6781 0.0000 0.0000 0.0000 8.6781 0.0000 -4.3391 -4.3391 7.7455" Properties=species:S:1:pos:R:3 pbc="T T T"
Er 0.0000 0.0000 0.0000
Er 6.1543 6.8629 2.1742
Er 2.5238 1.8153 2.1742
Er 1.8153 2.5238 5.5714
Er 2.5238 -1.8153 5.5714
Th 7.6402 5.3770 0.0000
Th 1.0379 3.3012 0.0000
Nd 0.0000 4.3391 3.8728
Er -1.8153 -2.5238 5.5714
Nd 4.3391 0.0000 3.8728
Er 6.8629 2.5238 2.1742
Er -2.5238 1.8153 5.5714
Tm 4.3391 4.3391 3.8728
Er 4.3391 4.3391 0.0000
Th 3.3012 7.6402 0.0000
Tm 0.0000 0.0000 3.8728
Er 1.8153 6.1543 2.1742
Th 5.3770 1.0379 0.0000
```

Summary:
The total DFT energy (no corrections) comes out at -4.870 eV/atom. For the formation energy, the calculation gives 0.340 eV/atom.

***

Density functional theory data (PBE-GGA) for a relaxed CaTe2Os crystal.

```
4
Lattice="-0.4806 3.5604 -1.6550 -1.8736 -1.6733 -3.0556 -5.3377 0.6383 2.9233" Properties=species:S:1:pos:R:3 pbc="T T T"
Te -4.9736 0.5948 2.7239
Te -2.7531 1.1321 -1.4922
Ca -2.4276 0.2903 1.3296
Os -5.5440 1.4658 0.0363
```

Summary:
The total DFT energy (no corrections) comes out at -4.854 eV/atom. The value obtained for the energy above the lowest structure with this stoichiometry is 0.403 eV per atom. The formation energy from raw total energies is 0.02 eV per atom.

***

Density functional theory data (PBE-GGA) for a relaxed AcLa8Tm3 crystal.

```
12
Lattice="-8.2267 2.8303 1.4270 -1.0914 -4.3410 -7.6034 5.4524 -5.9514 3.5142" Properties=species:S:1:pos:R:3 pbc="T T T"
Tm -0.2876 -4.1614 1.4362
La -3.4008 -2.3373 2.2752
La -3.4346 -4.5809 -0.5750
La -6.5836 -1.4845 -3.3013
La -3.5918 -1.0065 -1.3151
La -0.4493 -2.8958 -2.0753
La -1.3885 -6.1785 -3.2689
Tm -3.5852 -3.2989 -4.1020
La 1.6733 -7.9058 -4.0644
Ac -1.5617 -4.8753 -6.7556
La -5.5667 0.4377 1.4127
Tm 1.7108 -5.6798 -1.1983
```

Summary:
The total DFT energy (no corrections) comes out at -4.704 eV/atom. For the formation energy, the calculation gives 0.041 eV/atom.

***

Density functional theory data (PBE-GGA) for a relaxed AlS3Cl crystal.

```
5
Lattice="-0.0451 -1.1088 -4.4888 4.6052 -0.4118 0.0554 -0.4130 -4.4701 1.1083" Properties=species:S:1:pos:R:3 pbc="T T T"
S 2.3026 -0.2059 0.0277
S -0.0226 -0.5544 -2.2444
Al 0.0000 0.0000 0.0000
S -0.2065 -2.2351 0.5542
Cl 2.0735 -2.9953 -1.6625
```

Summary:
The total DFT energy (no corrections) comes out at -3.287 eV/atom. The value obtained for the energy above the lowest structure with this stoichiometry is 0.932 eV per atom. The formation energy from raw total energies is 0.31 eV per atom.

***

Density functional theory data (PBE-GGA) for a relaxed Tb3ScSe6 crystal.

```
20
Lattice="8.2965 0.0179 0.0183 -0.1621 8.2950 0.0183 -0.1621 -0.1657 8.2933" Properties=species:S:1:pos:R:3 pbc="T T T"
Tb 0.5367 1.9522 4.7547
Sc 3.9861 4.0736 4.1650
Tb 3.2748 7.5084 6.2727
Se 7.4713 5.7533 0.7065
Se 1.4184 4.4349 3.4558
Tb 7.4356 6.1950 3.5752
Se 3.5692 4.7258 6.7393
Se 4.4030 3.4214 1.5906
Se 0.5009 2.3939 7.6235
Tb 1.9401 4.7407 0.6842
Se 2.3825 7.6093 0.7217
Se 4.6472 6.6563 3.8195
Tb 6.0321 3.4065 7.6457
Tb 4.6975 0.6388 2.0572
Se 0.4164 7.4821 5.7675
Se 7.5558 0.6651 2.5624
Se 5.5898 0.5379 7.6082
Sc 0.0000 0.0000 0.0000
Se 6.5538 3.7123 4.8741
Se 3.3250 1.4909 4.5104
```

Summary:
The total DFT energy (no corrections) comes out at -5.928 eV/atom. The formation energy from raw total energies is -1.81 eV per atom.

***

Density functional theory data (PBE-GGA) for a relaxed ScPaPS crystal.

```
4
Lattice="3.7037 -0.0007 -0.0006 -1.8516 3.2081 0.0002 -1.8513 -1.0690 6.8361" Properties=species:S:1:pos:R:3 pbc="T T T"
S 2.2018 0.8343 2.5946
Sc 0.3501 -0.2346 4.3475
P -1.5015 0.8349 5.8211
Pa -1.5019 2.9735 0.7008
```

Summary:
The total DFT energy (no corrections) comes out at -7.788 eV/atom. The formation energy from raw total energies is -1.45 eV per atom.

***

Density functional theory data (PBE-GGA) for a relaxed RbAlAg2 crystal.

```
4
Lattice="4.6946 0.0000 0.0000 2.3473 4.0657 0.0000 2.3473 1.3552 6.3897" Properties=species:S:1:pos:R:3 pbc="T T T"
Al 0.0000 0.0000 0.0000
Ag 2.3473 1.3552 0.2948
Ag 7.0419 4.0657 6.0948
Rb 4.6946 2.7104 3.1948
```

Summary:
The total DFT energy (no corrections) comes out at -2.606 eV/atom. For the formation energy, the calculation gives -0.003 eV/atom.

***

Density functional theory data (PBE-GGA) for a relaxed Tm5In2AgRh2 crystal.

```
20
Lattice="-1.4754 -1.0578 -3.0965 -9.3604 -3.6767 5.7160 -4.8562 10.4245 -1.2472" Properties=species:S:1:pos:R:3 pbc="T T T"
Tm -3.1658 4.6833 -2.1719
In -7.0653 7.4132 0.8340
Tm -9.3760 1.3223 1.9353
Rh -4.3266 6.1133 -0.0268
Tm -2.9936 -0.4932 -0.4856
Tm -12.6985 6.1832 1.8579
Tm -5.3116 7.5127 -2.1160
In -11.0056 3.9867 3.8821
Ag -7.1083 3.3739 2.2344
Tm -9.5277 4.6782 0.8612
Ag 0.0000 0.0000 0.0000
Tm -6.3162 4.3677 -0.5630
Tm -5.4179 -2.3672 1.3098
Tm -6.1644 1.0118 0.5111
Rh -4.0787 0.0447 1.9281
In -7.1514 -0.6654 3.6348
Tm -10.3805 -1.8227 3.4883
Rh -10.1380 6.7031 2.5407
In -3.2110 2.7612 0.5868
Rh -9.8901 0.6345 4.4957
```

Summary:
The total DFT energy (no corrections) comes out at -5.128 eV/atom. For the formation energy, the calculation gives -0.589 eV/atom.

***

Density functional theory data (PBE-GGA) for a relaxed ZrTa2In crystal.

```
4
Lattice="4.6179 0.0000 0.0000 0.0000 3.0056 0.0376 0.0000 1.4722 5.8647" Properties=species:S:1:pos:R:3 pbc="T T T"
Ta 2.3090 0.9921 1.4372
Ta 0.0000 0.1561 0.1039
Zr 0.0000 2.1433 2.8250
In 2.3090 3.4251 4.4873
```

Summary:
The total DFT energy (no corrections) comes out at -8.669 eV/atom. For the formation energy, the calculation gives 0.079 eV/atom.

***

Density functional theory data (PBE-GGA) for a relaxed H6PbS2O2 crystal.

```
11
Lattice="-1.2503 -0.0574 4.3540 6.3856 -3.6425 4.1448 -3.9199 6.3190 -1.0426" Properties=species:S:1:pos:R:3 pbc="T T T"
H 0.8771 -0.0018 4.0842
O 0.0444 0.1239 4.7300
H 0.4085 -0.0232 5.7161
H 0.3383 2.6209 3.3720
S 2.4193 -0.2967 3.0494
H -0.4182 1.0434 4.6089
O 1.1710 2.4951 2.7262
S -1.2039 2.9157 4.4068
H 0.8068 2.6422 1.7401
H 1.6336 1.5756 2.8473
Pb -2.5851 3.1308 1.6557
```

Summary:
The total DFT energy (no corrections) comes out at -4.410 eV/atom.

***

- Which of these has the highest total DFT energy (no corrections)?
  RbAlAg2

***

What did the fourth record say?
Density functional theory data (PBE-GGA) for a relaxed CaTe2Os crystal.

```
4
Lattice="-0.4806 3.5604 -1.6550 -1.8736 -1.6733 -3.0556 -5.3377 0.6383 2.9233" Properties=species:S:1:pos:R:3 pbc="T T T"
Te -4.9736 0.5948 2.7239
Te -2.7531 1.1321 -1.4922
Ca -2.4276 0.2903 1.3296
Os -5.5440 1.4658 0.0363
```

Summary:
The total DFT energy (no corrections) comes out at -4.854 eV/atom. The value obtained for the energy above the lowest structure with this stoichiometry is 0.403 eV per atom. The formation energy from raw total energies is 0.02 eV per atom.